Record 1
PrDyCuIr (GGA-PBE, relaxed); space-group type = Amm2, No. 38; DFT formation energy = -500 meV per atom; E above lowest polymorph = 0 meV per atom
1.0
-0.785 3.833 -0.315
-4.130 -0.751 1.148
1.694 -1.227 5.294
Cu Ir Dy Pr
1 1 1 1
Direct
0.570 0.500 0.140
0.421 0.000 0.843
0.865 0.500 0.731
0.143 0.000 0.286

Record 2
AsS2ClO (GGA-PBE, relaxed); space-group type = P4/mmm, No. 123; raw formation energy = 0.4338 eV per atom; E above lowest polymorph = 0 meV per atom
1.0
-1.014 -3.970 -2.644
2.549 1.011 -2.495
3.393 -2.501 2.453
S O As Cl
2 1 1 1
Direct
0.000 0.000 0.500
0.500 0.000 0.000
0.000 0.500 0.000
0.000 0.000 0.000
0.500 0.500 0.500

Record 3
HgBi2I2 (GGA-PBE, relaxed); space-group type = I4/mmm, No. 139; raw formation energy = 0.0119 eV per atom; E above lowest polymorph = 24 meV per atom
1.0
-4.128 1.767 -0.625
-1.207 -3.664 -2.382
-5.869 -5.420 6.996
Bi I Hg
2 2 1
Direct
0.750 0.250 0.500
0.250 0.750 0.500
0.619 0.619 0.762
0.381 0.381 0.238
0.000 0.000 0.000

Record 4
CdCu2W (GGA-PBE, relaxed); space-group type = I-4m2, No. 119; DFT formation energy = 706 meV per atom
1.0
4.842 0.020 0.000
1.644 4.555 0.000
-3.243 -2.288 2.774
Cu W Cd
2 1 1
Direct
0.000 0.000 0.000
0.250 0.750 0.500
0.500 0.500 0.000
0.750 0.250 0.500

Record 5
CuSn2P2 (GGA-PBE, relaxed); space-group type = I4/mmm, No. 139; DFT formation energy = 248 meV per atom; E above lowest polymorph = 0 meV per atom
1.0
3.365 0.000 0.000
0.000 3.365 0.000
1.682 1.682 8.675
Cu P Sn
1 2 2
Direct
0.000 0.000 0.000
0.750 0.250 0.500
0.250 0.750 0.500
0.597 0.597 0.805
0.403 0.403 0.195

Record 6
ZrMnPb2 (GGA-PBE, relaxed); space-group type = I4/mmm, No. 139; DFT formation energy = 237 meV per atom; E above lowest polymorph = 100 meV per atom
1.0
-1.200 -3.893 3.800
4.349 -3.406 0.720
-0.466 5.551 0.038
Mn Pb Zr
1 2 1
Direct
0.750 0.250 0.500
0.500 0.500 0.000
0.000 0.000 0.000
0.250 0.750 0.500

Record 7
MnTlTc (GGA-PBE, relaxed); space-group type = P3m1, No. 156; DFT formation energy = 547 meV per atom; E above lowest polymorph = 92 meV per atom
1.0
-2.585 1.009 -1.136
1.859 -1.616 -1.709
-3.069 -5.629 1.986
Mn Tc Tl
1 1 1
Direct
0.000 0.000 0.030
0.333 0.667 0.301
0.667 0.333 0.669

Record 8
RbLi2SmCl6 (GGA-PBE, relaxed); space-group type = P1, No. 1; raw formation energy = -2.0407 eV per atom
1.0
6.690 -0.002 -0.001
3.338 5.788 0.043
3.354 1.915 7.933
Li Cl Sm Rb
2 6 1 1
Direct
0.644 0.644 0.069
0.989 0.988 0.033
0.597 0.254 0.235
0.255 0.911 0.235
0.377 0.721 0.868
0.719 0.036 0.868
0.914 0.597 0.235
0.034 0.379 0.869
0.316 0.316 0.052
0.816 0.817 0.552

Record 9
TlZnMo2 (GGA-PBE, relaxed); space-group type = P4mm, No. 99; DFT formation energy = 335 meV per atom; E above lowest polymorph = 0 meV per atom
1.0
3.297 0.000 0.000
0.000 3.297 0.000
0.000 0.000 6.554
Tl Mo Zn
1 2 1
Direct
0.000 0.000 0.506
0.500 0.500 0.202
0.000 0.000 0.009
0.500 0.500 0.783

Record 10
CsTa2Zn (GGA-PBE, relaxed); space-group type = I4_1/amd, No. 141; DFT formation energy = 1676 meV per atom
1.0
5.022 0.000 0.000
0.000 5.022 0.000
2.511 2.511 10.224
Cs Zn Ta
2 2 4
Direct
0.000 0.000 0.000
0.750 0.250 0.500
0.250 0.750 0.500
0.500 0.500 0.000
0.375 0.625 0.750
0.375 0.125 0.250
0.875 0.625 0.750
0.375 0.625 0.250

Record 11
Ta3GaC (GGA-PBE, relaxed); space-group type = P2_1/m, No. 11; DFT formation energy = -482 meV per atom; E above lowest polymorph = 0 meV per atom
1.0
-2.233 1.249 -1.969
3.533 -3.026 -3.289
-4.813 -6.839 1.121
Ta C Ga
6 2 2
Direct
0.548 0.095 0.750
0.130 0.264 0.049
0.452 0.905 0.250
0.130 0.264 0.451
0.870 0.736 0.951
0.870 0.736 0.549
0.500 0.000 0.500
0.500 0.000 0.000
0.243 0.485 0.750
0.757 0.515 0.250

Record 12
YSc3Al (GGA-PBE, relaxed); space-group type = Cmcm, No. 63; DFT formation energy = -59 meV per atom; E above lowest polymorph = 0 meV per atom
1.0
5.352 0.000 0.000
0.000 5.572 -2.932
0.000 0.684 8.061
Sc Al Y
6 2 2
Direct
0.250 0.940 0.353
0.750 0.587 0.647
0.500 0.000 0.000
0.750 0.060 0.647
0.250 0.413 0.353
0.000 0.000 0.000
0.750 0.168 0.335
0.250 0.832 0.665
0.750 0.581 0.161
0.250 0.419 0.839

Record 13
CsVZn (GGA-PBE, relaxed); space-group type = F-43m, No. 216; DFT formation energy = 1300 meV per atom; E above lowest polymorph = 889 meV per atom
1.0
2.531 -3.666 -2.866
5.294 -0.038 -0.171
2.701 -3.858 2.425
Zn V Cs
1 1 1
Direct
0.750 0.750 0.750
0.500 0.500 0.500
0.250 0.250 0.250

Record 14
CaRe2Br (GGA-PBE, relaxed); space-group type = Amm2, No. 38; raw formation energy = 0.0536 eV per atom; E above lowest polymorph = 0 meV per atom
1.0
-1.633 1.606 2.210
0.622 -2.303 2.133
7.012 2.670 3.241
Re Ca Br
2 1 1
Direct
0.000 0.042 0.040
0.500 0.464 0.195
0.500 0.683 0.760
0.000 0.311 0.504

Record 15
CaBe5 (GGA-PBE, relaxed); space-group type = Cmmm, No. 65; DFT formation energy = 389 meV per atom
1.0
2.152 -4.330 0.000
2.152 4.330 0.000
0.000 0.000 3.924
Be Ca
5 1
Direct
0.000 0.000 0.500
0.751 0.249 0.500
0.831 0.169 0.000
0.249 0.751 0.500
0.169 0.831 0.000
0.500 0.500 0.000

Record 16
CaErTe2O8 (GGA-PBE, relaxed); space-group type = I-4, No. 82; raw formation energy = -1.8495 eV per atom
1.0
5.295 0.000 0.000
0.000 5.295 0.000
-2.648 -2.648 5.694
O Er Te Ca
8 1 2 1
Direct
0.986 0.397 0.314
0.662 0.237 0.832
0.406 0.338 0.168
0.328 0.918 0.314
0.082 0.014 0.686
0.763 0.830 0.168
0.170 0.594 0.832
0.603 0.672 0.686
0.000 0.000 0.000
0.250 0.750 0.500
0.500 0.500 0.000
0.750 0.250 0.500

Record 17
SrTm2Th (GGA-PBE, relaxed); space-group type = P4/mmm, No. 123; DFT formation energy = 101 meV per atom; E above lowest polymorph = 0 meV per atom
1.0
-1.961 -0.938 -2.950
3.095 -0.689 -1.838
-0.242 -9.944 3.323
Sr Th Tm
1 1 2
Direct
0.500 0.500 0.500
0.500 0.500 0.000
0.000 0.000 0.216
0.000 0.000 0.784

Record 18
BaAl12Au7 (GGA-PBE, relaxed); space-group type = R-3, No. 148; DFT formation energy = -265 meV per atom
1.0
-5.896 -1.786 -2.429
0.544 -3.930 7.585
-5.696 2.818 5.735
Al Au Ba
12 7 1
Direct
0.162 0.428 0.064
0.774 0.936 0.492
0.266 0.492 0.572
0.226 0.064 0.508
0.462 0.898 0.341
0.838 0.572 0.936
0.564 0.761 0.898
0.803 0.341 0.761
0.197 0.659 0.239
0.436 0.239 0.102
0.734 0.508 0.428
0.538 0.102 0.659
0.500 0.000 0.000
0.272 0.758 0.741
0.514 0.501 0.758
0.486 0.499 0.242
0.987 0.259 0.499
0.728 0.242 0.259
0.013 0.741 0.501
0.000 0.000 0.000

Record 19
Tb2PmNpP4 (GGA-PBE, relaxed); space-group type = P2/m, No. 10; DFT formation energy = -1402 meV per atom
1.0
4.027 0.000 0.000
0.000 6.989 0.131
0.000 -2.433 6.541
Np Tb P Pm
1 2 4 1
Direct
0.000 0.000 0.000
0.500 0.000 0.500
0.000 0.500 0.500
0.500 0.757 0.753
0.000 0.242 0.750
0.500 0.243 0.247
0.000 0.758 0.250
0.500 0.500 0.000

Record 20
SmBiPbAu (GGA-PBE, relaxed); space-group type = F-43m, No. 216; DFT formation energy = -375 meV per atom
1.0
5.403 0.000 0.000
2.702 4.679 0.000
2.702 1.560 4.412
Au Bi Pb Sm
1 1 1 1
Direct
0.000 0.000 0.000
0.500 0.500 0.500
0.250 0.250 0.250
0.750 0.750 0.750

Record 21
ScCo2Si (GGA-PBE, relaxed); space-group type = Pmm2, No. 25; raw formation energy = -0.2900 eV per atom
1.0
2.821 0.000 0.000
0.000 3.619 0.000
0.000 0.000 5.178
Co Sc Si
2 1 1
Direct
0.000 0.000 0.961
0.500 0.500 0.254
0.000 0.000 0.476
0.500 0.500 0.809

Record 22
AlAsSeN2 (GGA-PBE, relaxed); space-group type = P4/mmm, No. 123; raw formation energy = 0.8207 eV per atom; E above lowest polymorph = 0 meV per atom
1.0
-2.579 0.194 -2.724
-2.717 -0.571 2.531
-0.407 5.328 0.764
As Al Se N
1 1 1 2
Direct
0.500 0.500 0.500
0.000 0.000 0.000
0.000 0.000 0.500
0.500 0.000 0.000
0.000 0.500 0.000

Record 23
BePt3Se (GGA-PBE, relaxed); space-group type = Pm-3m, No. 221; raw formation energy = 0.2393 eV per atom; E above lowest polymorph = 0 meV per atom
1.0
4.307 0.000 0.000
0.000 4.307 0.000
0.000 0.000 4.307
Pt Se Be
3 1 1
Direct
0.500 0.000 0.000
0.000 0.000 0.500
0.000 0.500 0.000
0.500 0.500 0.500
0.000 0.000 0.000

Record 24
Ni2MoOs (GGA-PBE, relaxed); space-group type = P4/mmm, No. 123; DFT formation energy = 141 meV per atom; E above lowest polymorph = 155 meV per atom
1.0
2.613 0.022 0.000
-0.021 2.613 0.000
0.000 0.000 7.645
Os Mo Ni
1 1 2
Direct
0.500 0.500 0.250
0.500 0.500 0.750
0.000 0.000 0.490
0.000 0.000 0.010

Record 25
Sm2MnC2 (GGA-PBE, relaxed); space-group type = C2/m, No. 12; DFT formation energy = -212 meV per atom
1.0
-3.278 3.468 -2.111
-2.567 -5.358 1.633
1.551 4.416 4.847
Mn C Sm
2 4 4
Direct
0.371 0.741 0.868
0.629 0.259 0.132
0.488 0.977 0.202
0.191 0.381 0.621
0.512 0.023 0.798
0.809 0.619 0.379
0.041 0.083 0.790
0.959 0.917 0.210
0.317 0.634 0.378
0.683 0.366 0.622

Record 26
HoHf2Np (GGA-PBE, relaxed); space-group type = P4/mmm, No. 123; DFT formation energy = 350 meV per atom; E above lowest polymorph = 32 meV per atom
1.0
3.731 0.000 0.000
0.000 3.731 0.000
0.000 0.000 7.077
Hf Np Ho
2 1 1
Direct
0.000 0.000 0.788
0.000 0.000 0.212
0.500 0.500 0.000
0.500 0.500 0.500

Record 27
ZrSc2VPd (GGA-PBE, relaxed); space-group type = P4/mmm, No. 123; DFT formation energy = 468 meV per atom
1.0
4.902 0.000 0.000
0.000 4.821 0.000
0.000 0.000 4.902
Zr V Sc Pd
1 1 2 1
Direct
0.500 0.500 0.500
0.000 0.500 0.000
0.000 0.000 0.500
0.500 0.000 0.000
0.000 0.000 0.000